Material: Zn3In
Method: DFT, GGA-PBE
State: optimized geometry

Geometry as POSCAR:
```
Zn3In
1.0
5.270 0.000 0.000
0.000 5.270 0.000
0.000 0.000 5.270
Zn In
6 2
Direct
0.000 0.250 0.500 Zn
0.000 0.750 0.500 Zn
0.250 0.500 0.000 Zn
0.500 0.000 0.250 Zn
0.500 0.000 0.750 Zn
0.750 0.500 0.000 Zn
0.000 0.000 0.000 In
0.500 0.500 0.500 In
```

SG: Pm-3n (223)
ΔH_f (0 K): 0.5 eV/f.u.

***

Material: Ti2As2O
Method: DFT, GGA-PBE
State: optimized geometry

Geometry as POSCAR:
```
Ti2As2O
1.0
6.896 0.000 0.000
0.000 6.896 0.000
0.000 0.000 3.323
Ti As O
4 4 2
Direct
0.156 0.344 0.000 Ti
0.344 0.844 0.000 Ti
0.656 0.156 0.000 Ti
0.844 0.656 0.000 Ti
0.145 0.645 0.500 As
0.355 0.145 0.500 As
0.645 0.855 0.500 As
0.855 0.355 0.500 As
0.000 0.000 0.500 O
0.500 0.500 0.500 O
```

ΔE to the lowest computed polymorph: 37 meV per atom
Energy relative to the elements, uncorrected: -324 meV/atom
SG: P4/mbm (127)

***

Material: AlTcW
Method: DFT, GGA-PBE
State: optimized geometry

Geometry as POSCAR:
```
AlTcW
1.0
5.975 0.000 0.000
0.000 5.975 0.000
0.000 0.000 5.975
Al Tc W
4 4 4
Direct
0.000 0.000 0.000 Al
0.000 0.500 0.500 Al
0.500 0.000 0.500 Al
0.500 0.500 0.000 Al
0.250 0.250 0.250 Tc
0.250 0.750 0.750 Tc
0.750 0.250 0.750 Tc
0.750 0.750 0.250 Tc
0.000 0.000 0.500 W
0.000 0.500 0.000 W
0.500 0.000 0.000 W
0.500 0.500 0.500 W
```

ΔE to the lowest computed polymorph: 557 meV per atom
SG: F-43m (216)
ΔH_f (0 K): 0.9 eV/f.u.

***

Material: Zr2Pd4Pt
Method: DFT, GGA-PBE
State: optimized geometry

Geometry as POSCAR:
```
Zr2Pd4Pt
1.0
9.251 0.000 0.000
0.000 3.965 0.000
-0.745 0.000 6.466
Zr Pd Pt
4 8 2
Direct
0.078 0.000 0.231 Zr
0.422 0.500 0.769 Zr
0.578 0.500 0.231 Zr
0.922 0.000 0.769 Zr
0.138 0.500 0.924 Pd
0.214 0.000 0.642 Pd
0.286 0.500 0.358 Pd
0.362 0.000 0.076 Pd
0.638 0.000 0.924 Pd
0.714 0.500 0.642 Pd
0.786 0.000 0.358 Pd
0.862 0.500 0.076 Pd
0.000 0.500 0.500 Pt
0.500 0.000 0.500 Pt
```

SG: C2/m (12)
ΔH_f (0 K): -5.6 eV/f.u.

***

Material: Mg2CuBr
Method: DFT, GGA-PBE
State: optimized geometry

Geometry as POSCAR:
```
Mg2CuBr
1.0
3.899 0.000 0.000
0.000 3.899 0.000
0.000 0.000 11.334
Mg Cu Br
4 2 2
Direct
0.000 0.000 0.000 Mg
0.000 0.500 0.250 Mg
0.500 0.000 0.750 Mg
0.500 0.500 0.500 Mg
0.000 0.000 0.500 Cu
0.500 0.500 0.000 Cu
0.000 0.500 0.750 Br
0.500 0.000 0.250 Br
```

ΔE to the lowest computed polymorph: 283 meV per atom
Energy relative to the elements, uncorrected: -59 meV/atom
SG: I-4m2 (119)

***

Material: YNiOs4
Method: DFT, GGA-PBE
State: optimized geometry

Geometry as POSCAR:
```
YNiOs4
1.0
0.000 3.696 3.696
3.696 0.000 3.696
3.696 3.696 0.000
Y Ni Os
1 1 4
Direct
0.000 0.000 0.000 Y
0.750 0.750 0.750 Ni
0.376 0.376 0.376 Os
0.376 0.376 0.872 Os
0.376 0.872 0.376 Os
0.872 0.376 0.376 Os
```

SG: F-43m (216)
ΔH_f (0 K): 1.9 eV/f.u.